This record from Alexandria describes an optimized crystal structure of KScRu2. The functional is GGA-PBE.

Geometry as extended XYZ:
```
8
Lattice="4.875 0.000 0.000 0.000 4.875 0.000 2.438 2.438 9.082" Properties=species:S:1:pos:R:3 pbc="T T T"
Sc 4.875 2.438 4.541
Ru 6.094 2.540 6.811
Ru 4.978 1.219 2.270
Sc 0.000 0.000 0.000
K 2.438 4.875 4.541
K 2.438 2.438 0.000
Ru 4.773 3.657 2.270
Ru 3.657 2.335 6.811
```

Values from the calculation:
space-group type = I-42d (122)
energy relative to the lowest polymorph listed for this composition = 599 meV/atom

This record from Alexandria describes an optimized crystal structure of KSc2Ru. The functional is GGA-PBE.

Geometry as extended XYZ:
```
8
Lattice="-6.733 -3.840 -0.305 3.406 -5.648 -4.082 -0.391 -7.345 2.467" Properties=species:S:1:pos:R:3 pbc="T T T"
Sc -2.391 -7.657 1.224
K -1.663 -4.744 -2.194
Ru -4.394 -7.965 -0.016
K 0.676 -8.869 -1.904
Sc -5.561 -5.901 -0.160
Sc -3.863 -8.728 -2.202
Ru 0.000 0.000 0.000
Sc -5.760 -9.573 1.075
```

Values from the calculation:
space-group type = Fd-3m (227)
energy relative to the lowest polymorph listed for this composition = 621 meV/atom

This record from Alexandria describes an optimized crystal structure of KScRu2. The functional is GGA-PBE.

Geometry as extended XYZ:
```
4
Lattice="2.898 -0.001 0.000 -1.194 2.641 0.000 0.000 0.000 9.771" Properties=species:S:1:pos:R:3 pbc="T T T"
K 0.852 1.320 7.328
Ru 0.000 0.000 4.525
Ru 0.000 0.000 0.360
Sc 0.852 1.320 2.443
```

Values from the calculation:
space-group type = Cmmm (65)
energy relative to the lowest polymorph listed for this composition = 121 meV/atom

This record from Alexandria describes an optimized crystal structure of KScRu2. The functional is GGA-PBE.

Geometry as extended XYZ:
```
4
Lattice="6.002 0.006 0.003 2.898 5.256 -0.003 -3.628 -4.021 2.586" Properties=species:S:1:pos:R:3 pbc="T T T"
Sc 4.807 2.842 0.000
Ru 8.532 5.045 0.000
Ru 3.509 -0.634 1.294
K 1.772 1.881 1.292
```

Values from the calculation:
space-group type = Imm2 (44)
energy relative to the lowest polymorph listed for this composition = 377 meV/atom

This record from Alexandria describes an optimized crystal structure of KScRu2. The functional is GGA-PBE.

Geometry as extended XYZ:
```
4
Lattice="-2.907 2.794 -1.712 -0.852 -2.056 -1.910 -5.220 -2.970 4.016" Properties=species:S:1:pos:R:3 pbc="T T T"
K -6.007 -2.372 0.723
Ru -0.520 -0.304 0.386
Ru -2.516 -2.208 0.667
Sc -2.971 0.141 -0.330
```

Values from the calculation:
space-group type = P2/m (10)
energy relative to the lowest polymorph listed for this composition = 173 meV/atom

This record from Alexandria describes an optimized crystal structure of KSc2Ru. The functional is GGA-PBE.

Geometry as extended XYZ:
```
4
Lattice="5.008 0.000 0.000 2.504 4.337 0.000 2.504 1.446 4.089" Properties=species:S:1:pos:R:3 pbc="T T T"
Sc 2.504 1.446 1.022
Ru 7.512 4.337 3.067
K 5.008 2.891 2.044
Sc 0.000 0.000 0.000
```

Values from the calculation:
space-group type = F-43m (216)
energy relative to the lowest polymorph listed for this composition = 917 meV/atom

For each record above, in turn, the calculated Fermi-level density of states values are 4.6 4.7 4.2 4.5 3.9 4.9 states/eV/f.u..